! LiSmMgTl | the Alexandria database | PBE | optimized geometry; values from VASP
! Energy of formation ... -0.212 eV/atom
! Polymorph energy (0 for the lowest one) ... 15.1 meV/atom
! DOS at the Fermi energy ... 0.71 states/eV/atom
&SYSTEM
  ibrav = 0, nat = 4, ntyp = 4
/
ATOMIC_SPECIES
Tl 204.38 Tl.upf
Mg 24.30 Mg.upf
Sm 150.36 Sm.upf
Li 6.94 Li.upf
CELL_PARAMETERS angstrom
5.1827 0.0000 0.0000
2.5913 4.4883 0.0000
2.5913 1.4961 4.2316
ATOMIC_POSITIONS angstrom
Tl 2.5913 1.4961 1.0579
Mg 7.7740 4.4883 3.1737
Sm 5.1827 2.9922 2.1158
Li 0.0000 0.0000 0.0000